No. 1
Here is a geometry-optimized Nd2USe4 structure from Alexandria. Energies are from GGA-PBE.

## Properties
Energy relative to the lowest polymorph listed for this composition: 0.00 eV/f.u.
Uncorrected formation energy: -1580 meV per atom

Unit cell a=8.8811 b=8.8811 c=8.8271 alpha=90.00 beta=90.00 gamma=90.00
Space group I-42d (No. 122)
Symmetry-distinct sites (fractional):
1 Nd 0.1254 0.7500 0.1250
2 U 0.0000 0.0000 0.5000
3 Se 0.0750 0.6759 0.4541



No. 2
Here is a geometry-optimized Nd2Y3Tm3 structure from Alexandria. Energies are from GGA-PBE.

## Properties
Energy relative to the lowest polymorph listed for this composition: 0.18 eV/f.u.
E_form: 11 kJ per mole of atoms

Unit cell a=3.5963 b=17.4501 c=16.8097 alpha=90.00 beta=90.00 gamma=90.00
Space group Cmcm (No. 63)
Symmetry-distinct sites (fractional):
1 Nd 0.0000 0.2123 0.1487
2 Y 0.0000 0.3566 0.0173
3 Y 0.0000 0.3893 0.2500
4 Tm 0.0000 0.0071 0.1004
5 Tm 0.0000 0.4238 0.7500



No. 3
Here is a geometry-optimized SrPbCl2 structure from Alexandria. Energies are from GGA-PBE.

## Properties
Energy relative to the lowest polymorph listed for this composition: 0.64 eV/f.u.
Uncorrected formation energy: -1311 meV per atom

Unit cell a=9.9253 b=3.9374 c=6.4643 alpha=90.00 beta=100.95 gamma=90.00
Space group C2/m (No. 12)
Symmetry-distinct sites (fractional):
1 Sr 0.0000 0.0000 0.0000
2 Pb 0.0000 0.5000 0.5000
3 Cl 0.1999 0.5000 0.2113



No. 4
Here is a geometry-optimized Nb2Co2Te structure from Alexandria. Energies are from GGA-PBE.

## Properties
Uncorrected formation energy: 2 meV per atom

Unit cell a=6.6964 b=6.6964 c=3.5204 alpha=90.00 beta=90.00 gamma=90.00
Space group P4/mbm (No. 127)
Symmetry-distinct sites (fractional):
1 Nb 0.1639 0.3361 0.0000
2 Co 0.1264 0.6264 0.5000
3 Te 0.0000 0.0000 0.5000



No. 5
Here is a geometry-optimized Cs2PmAsS4 structure from Alexandria. Energies are from GGA-PBE.

## Properties
Uncorrected formation energy: -1015 meV per atom

Unit cell a=6.8175 b=14.8471 c=25.7488 alpha=90.00 beta=90.00 gamma=90.00
Space group Fddd (No. 70, origin choice 2)
Symmetry-distinct sites (fractional):
1 Cs 0.1250 0.1250 0.3071
2 Pm 0.1250 0.1250 0.1250
3 As 0.1250 0.1250 0.6250
4 S 0.1073 0.2789 0.8253



No. 6
Here is a geometry-optimized LiLaTa2 structure from Alexandria. Energies are from GGA-PBE.

## Properties
Energy relative to the lowest polymorph listed for this composition: 0.03 eV/f.u.
E_form: 34 kJ per mole of atoms

Unit cell a=3.5054 b=3.5054 c=7.3362 alpha=90.00 beta=90.00 gamma=90.00
Space group P4mm (No. 99)
Symmetry-distinct sites (fractional):
1 Li 0.0000 0.0000 0.0000
2 La 0.5000 0.5000 0.6795
3 Ta 0.0000 0.0000 0.3877
4 Ta 0.5000 0.5000 0.2187



No. 7
Here is a geometry-optimized Nd2AgPb structure from Alexandria. Energies are from GGA-PBE.

## Properties
E_form: -37 kJ per mole of atoms

Unit cell a=5.2683 b=5.2683 c=4.1323 alpha=90.00 beta=90.00 gamma=90.00
Space group P4/mmm (No. 123)
Symmetry-distinct sites (fractional):
1 Nd 0.0000 0.5000 0.0000
2 Ag 0.0000 0.0000 0.5000
3 Pb 0.5000 0.5000 0.5000



No. 8
Here is a geometry-optimized ZnGeAsIrAu structure from Alexandria. Energies are from GGA-PBE.

## Properties
Energy relative to the lowest polymorph listed for this composition: 0.42 eV/f.u.
E_form: -3 kJ per mole of atoms

Unit cell a=4.2060 b=4.2060 c=6.1917 alpha=90.00 beta=90.00 gamma=120.00
Space group P3m1 (No. 156)
Symmetry-distinct sites (fractional):
1 Zn 0.0000 0.0000 0.0000
2 Ge 0.3333 0.6667 0.7467
3 As 0.6667 0.3333 0.3869
4 Ir 0.6667 0.3333 0.7819
5 Au 0.3333 0.6667 0.2094